Density functional theory data (PBE-GGA) for a geometry-optimized NdTm3Ga2 structure.

Computed properties:
ΔE to the lowest computed polymorph = 0.000 eV per atom
DFT formation energy = -0.417 eV per atom
crystal system = orthorhombic
total moment = 0.00 μB per formula unit

Geometry as CIF:
```
data_NdTm3Ga2
_chemical_formula_sum 'Nd2 Tm6 Ga4'
_space_group_name_H-M_alt 'P m c 21'
_space_group_IT_number 26
_cell_length_a 4.8920
_cell_length_b 9.4953
_cell_length_c 6.6167
_cell_angle_alpha 90.00
_cell_angle_beta 90.00
_cell_angle_gamma 90.00
loop_
_space_group_symop_operation_xyz
'x,y,z'
'-x,-y,z+1/2'
'-x,y,z'
'x,-y,z+1/2'
loop_
_atom_site_label
_atom_site_fract_x
_atom_site_fract_y
_atom_site_fract_z
Nd1 0.0000 0.0497 0.0000
Tm1 0.0000 0.3239 0.6221
Tm2 0.5000 0.1912 0.2905
Tm3 0.5000 0.4466 0.9181
Ga1 0.0000 0.3658 0.1698
Ga2 0.5000 0.1410 0.7402
```